Material: Ba5Eu5Fe10O26
Method: DFT, PBE with a Hubbard U
State: relaxed

Output
VASP energy (eV/atom): -7.4929
DOS at the Fermi energy (states/eV per atom): 1.150
ρ (g cm⁻³): 6.5

Geometry as CIF:
```
data_Ba5Eu5Fe10O26
_chemical_formula_sum 'Ba5 Eu5 Fe10 O26'
_symmetry_space_group_name_H-M 'P -1'
_symmetry_Int_Tables_number 2
_cell_length_a 8.772
_cell_length_b 8.933
_cell_length_c 8.934
_cell_angle_alpha 89.95
_cell_angle_beta 78.33
_cell_angle_gamma 65.81
loop_
_symmetry_equiv_pos_as_xyz
'x,y,z'
'-x,-y,-z'
loop_
_atom_site_label
_atom_site_fract_x
_atom_site_fract_y
_atom_site_fract_z
Ba1 0.000 0.000 0.000
Ba2 0.001 0.402 0.196
Ba3 0.004 0.797 0.395
Eu1 0.496 0.406 0.716
Eu2 0.499 0.787 0.904
Eu3 0.500 0.000 0.500
Fe1 0.249 0.004 0.253
Fe2 0.249 0.195 0.851
Fe3 0.250 0.400 0.454
Fe4 0.250 0.798 0.644
Fe5 0.259 0.598 0.051
O1 0.000 0.104 0.309
O2 0.000 0.500 0.500
O3 0.001 0.705 0.101
O4 0.278 0.798 0.150
O5 0.279 0.379 0.941
O6 0.280 0.485 0.252
O7 0.280 0.692 0.834
O8 0.299 0.280 0.641
O9 0.299 0.980 0.739
O10 0.300 0.079 0.042
O11 0.302 0.879 0.439
O12 0.303 0.577 0.538
O13 0.304 0.180 0.340
O14 0.500 0.500 0.000
```